1.
This record from Alexandria via LeMat-Bulk describes a PBEsol-optimized structure of NbNO2F. The functional is SCAN.

```
5
Lattice="3.9089 0.0000 0.0000 0.0000 3.9089 0.0000 0.0000 0.0000 4.2550" Properties=species:S:1:pos:R:3 pbc="T T T"
Nb 0.0000 0.0000 0.0000
N 0.0000 0.0000 2.1275
O 0.0000 1.9545 0.0000
O 1.9545 0.0000 0.0000
F 1.9545 1.9545 2.1275
```

Values from the calculation:
Raw formation energy (eV/atom): -0.807
Raw total energy (hartree per atom): -0.459

2.
This record from Alexandria via LeMat-Bulk describes a PBEsol-optimized structure of Mn3ZnTe. The functional is SCAN.

```
5
Lattice="4.8624 0.0000 0.0000 0.0000 4.8624 0.0000 0.0000 0.0000 4.8624" Properties=species:S:1:pos:R:3 pbc="T T T"
Mn 0.0000 0.0000 2.4312
Mn 0.0000 2.4312 0.0000
Mn 2.4312 0.0000 0.0000
Zn 2.4312 2.4312 2.4312
Te 0.0000 0.0000 0.0000
```

Values from the calculation:
Raw formation energy (eV/atom): 0.745
Raw total energy (hartree per atom): -0.748

Number 1: DOS at the Fermi energy 2.62 states/eV/f.u.. Number 2: DOS at the Fermi energy 1.68 states/eV/f.u..